A plane-wave DFT calculation with PBE was carried out for a relaxed structure of LiAc6Si3.

a b c (Å): 7.910 8.435 10.684
angles (deg): 90.00 95.17 90.00
Atoms (fractional coordinates):
Li 0.500 0.500 0.500
Li 0.000 0.000 0.000
Ac 0.650 0.183 0.919
Ac 0.679 0.168 0.569
Ac 0.709 0.410 0.241
Ac 0.291 0.590 0.759
Ac 0.321 0.832 0.431
Ac 0.350 0.817 0.081
Ac 0.150 0.317 0.419
Ac 0.179 0.332 0.069
Ac 0.209 0.090 0.741
Ac 0.791 0.910 0.259
Ac 0.821 0.668 0.931
Ac 0.850 0.683 0.581
Si 0.553 0.876 0.726
Si 0.500 0.500 0.000
Si 0.447 0.124 0.274
Si 0.053 0.624 0.226
Si 0.000 0.000 0.500
Si 0.947 0.376 0.774

Output
* space-group type: No. 14
* uncorrected formation energy: -0.19 eV/atom
* total energy: -4.478 eV/atom